Mn2SnRu, relaxed, DFT GGA-PBE; calculated formation energy = 0.01 eV/f.u.
1.0
-4.2275 -0.9624 -0.6870
-2.6256 -0.9049 3.3996
-3.1205 2.8517 1.1831
Mn Sn Ru
2 1 1
Direct
0.0000 0.0000 0.0000 Mn
0.2500 0.2500 0.2500 Mn
0.7500 0.7500 0.7500 Sn
0.5000 0.5000 0.5000 Ru



BaVTeSe2, relaxed, DFT GGA-PBE; energy above the lowest structure with this stoichiometry = 0.7326 eV per atom; E_form (uncorrected) = -0.182 eV per atom
1.0
5.7898 0.0000 0.0000
0.0000 4.9800 0.0000
0.0000 0.0000 5.7898
Te Ba Se V
1 1 2 1
Direct
0.0000 0.0000 0.0000 Te
0.5000 0.5000 0.5000 Ba
0.0000 0.0000 0.5000 Se
0.5000 0.0000 0.0000 Se
0.0000 0.5000 0.0000 V



Te2PBr, relaxed, DFT GGA-PBE; energy above the lowest structure with this stoichiometry = 0.2063 eV per atom; E_form (uncorrected) = 0.291 eV per atom
1.0
-0.3333 -1.4001 -3.8988
4.8509 0.7483 -0.6834
-0.6346 -6.9944 2.5661
Br P Te
1 1 2
Direct
0.5000 0.2500 0.2500 Br
0.5000 0.7500 0.7500 P
0.0000 0.9544 0.9551 Te
0.0000 0.5456 0.5449 Te



Mg2ZrHgC, relaxed, DFT GGA-PBE; calculated formation energy = 6.91 eV/f.u.
1.0
5.4168 0.0000 0.0000
0.0000 3.9672 0.0000
0.0000 0.0000 5.4168
C Mg Hg Zr
1 2 1 1
Direct
0.0000 0.5000 0.0000 C
0.0000 0.0000 0.5000 Mg
0.5000 0.0000 0.0000 Mg
0.0000 0.0000 0.0000 Hg
0.5000 0.5000 0.5000 Zr



Ir2AuBr, relaxed, DFT GGA-PBE; energy above the lowest structure with this stoichiometry = 0.6827 eV per atom; E_form (uncorrected) = 1.137 eV per atom
1.0
-1.7353 0.6025 -4.3685
2.5008 -3.2750 -2.3405
-2.5470 -0.7273 3.9296
Ir Au Br
2 1 1
Direct
0.0000 0.0000 0.0000 Ir
0.5000 0.5000 0.0000 Ir
0.2500 0.7500 0.5000 Au
0.7500 0.2500 0.5000 Br



FeNiBi2, relaxed, DFT GGA-PBE; calculated formation energy = 2.37 eV/f.u.; energy above the lowest structure with this stoichiometry = 0.0000 eV per atom
1.0
-1.6102 0.6170 4.4182
-3.4298 -2.8075 1.6877
0.9928 -3.2023 3.3546
Ni Bi Fe
1 2 1
Direct
0.5000 0.5000 0.5000 Ni
0.2500 0.2500 0.2500 Bi
0.7500 0.7500 0.7500 Bi
0.0000 0.0000 0.0000 Fe



DyYTmCu, relaxed, DFT GGA-PBE; calculated formation energy = -0.42 eV/f.u.
1.0
3.4693 0.0000 0.0000
0.0000 3.4693 0.0000
0.0000 0.0000 8.6916
Dy Y Tm Cu
1 1 1 1
Direct
0.5000 0.5000 0.7687 Dy
0.0000 0.0000 0.0744 Y
0.5000 0.5000 0.3764 Tm
0.0000 0.0000 0.5652 Cu



A relaxed Ho4Ni2H crystal, computed with GGA-PBE.

```
Ho4Ni2H
1.0
4.5489 0.0000 0.0000
0.0000 4.5489 0.0000
2.2744 2.2744 7.0570
Ni Ho H
2 4 1
Direct
0.8757 0.8757 0.2485 Ni
0.1243 0.1243 0.7515 Ni
0.3098 0.3098 0.3804 Ho
0.6902 0.6902 0.6196 Ho
0.0000 0.5000 0.0000 Ho
0.5000 0.0000 0.0000 Ho
0.0000 0.0000 0.0000 H
```



PrGaCuHg, relaxed, DFT GGA-PBE; calculated formation energy = -1.04 eV/f.u.
1.0
4.9255 0.0000 0.0000
2.4627 4.2656 0.0000
2.4627 1.4219 4.0216
Pr Cu Hg Ga
1 1 1 1
Direct
0.5000 0.5000 0.5000 Pr
0.2500 0.2500 0.2500 Cu
0.0000 0.0000 0.0000 Hg
0.7500 0.7500 0.7500 Ga



GdClO2, relaxed, DFT GGA-PBE; E_form (uncorrected) = -1.736 eV per atom
1.0
3.6577 0.0000 0.0000
0.0000 6.3826 -0.0621
0.0000 2.2673 6.0346
Gd Cl O
2 2 4
Direct
0.7500 0.3083 0.8372 Gd
0.2500 0.6917 0.1628 Gd
0.2500 0.2611 0.5224 Cl
0.7500 0.7389 0.4776 Cl
0.2500 0.0812 0.0530 O
0.7500 0.9188 0.9470 O
0.2500 0.5477 0.8764 O
0.7500 0.4523 0.1236 O



YInPd3, relaxed, DFT GGA-PBE; calculated formation energy = -0.06 eV/f.u.; energy above the lowest structure with this stoichiometry = 0.5735 eV per atom
1.0
-3.0932 -3.4027 -1.7616
2.6314 -0.2408 -4.1554
2.7852 -3.5515 1.9695
Y Pd In
1 3 1
Direct
0.5000 0.5000 0.5000 Y
0.0000 0.5000 0.0000 Pd
0.0000 0.0000 0.5000 Pd
0.5000 0.0000 0.0000 Pd
0.0000 0.0000 0.0000 In



Hf3NpSc2N6, relaxed, DFT GGA-PBE; E_form (uncorrected) = -1.748 eV per atom
1.0
-1.1315 1.6760 -2.5204
-5.9526 0.0359 2.6961
3.5729 5.0285 3.8113
Hf Np Sc N
3 1 2 6
Direct
0.5000 0.5000 0.0000 Hf
0.8306 0.1693 0.6612 Hf
0.1694 0.8307 0.3388 Hf
0.5000 0.0000 0.0000 Np
0.8304 0.6615 0.6607 Sc
0.1696 0.3385 0.3393 Sc
0.3297 0.9189 0.6594 N
0.6666 0.5868 0.3332 N
0.6703 0.0811 0.3406 N
0.9991 0.2637 0.9982 N
0.0009 0.7363 0.0018 N
0.3334 0.4132 0.6668 N



Sm6Te3As2Br, relaxed, DFT GGA-PBE; E_form (uncorrected) = -1.425 eV per atom
1.0
4.3039 0.0000 0.0000
0.0000 8.7569 0.3105
-2.1519 -2.5246 9.1479
Sm Te As Br
6 3 2 1
Direct
0.3266 0.8832 0.6533 Sm
0.6739 0.5674 0.3478 Sm
0.6734 0.1168 0.3467 Sm
0.0141 0.2611 0.0282 Sm
0.9859 0.7389 0.9718 Sm
0.3261 0.4326 0.6522 Sm
0.5000 0.5000 0.0000 Te
0.8404 0.1639 0.6808 Te
0.1596 0.8361 0.3192 Te
0.8311 0.6636 0.6623 As
0.1689 0.3364 0.3377 As
0.5000 0.0000 0.0000 Br



Sn2HgCl6, relaxed, DFT GGA-PBE; E_form (uncorrected) = -0.813 eV per atom
1.0
-10.6755 2.6181 5.7185
-6.8274 0.7680 -4.4185
-4.2502 -6.0310 3.5056
Sn Hg Cl
4 2 12
Direct
0.2813 0.6219 0.6982 Sn
0.2187 0.3018 0.3781 Sn
0.7187 0.3781 0.3018 Sn
0.7813 0.6982 0.6219 Sn
0.2500 0.0660 0.9340 Hg
0.7500 0.9340 0.0660 Hg
0.5529 0.7363 0.6665 Cl
0.9471 0.3335 0.2637 Cl
0.4471 0.2637 0.3335 Cl
0.0529 0.6665 0.7363 Cl
0.8109 0.8968 0.3377 Cl
0.6891 0.6623 0.1032 Cl
0.1890 0.1032 0.6623 Cl
0.3110 0.3377 0.8968 Cl
0.1700 0.8086 0.0234 Cl
0.3300 0.9766 0.1914 Cl
0.8300 0.1914 0.9766 Cl
0.6700 0.0234 0.8086 Cl



AcLaBiS, relaxed, DFT GGA-PBE; E_form (uncorrected) = -1.243 eV per atom
1.0
5.0998 0.0000 0.0000
0.0000 5.0998 0.0000
0.0000 0.0000 10.7679
Ac La Bi S
2 2 2 2
Direct
0.0000 0.5000 0.8642 Ac
0.5000 0.0000 0.1358 Ac
0.0000 0.0000 0.5000 La
0.5000 0.5000 0.5000 La
0.5000 0.0000 0.6992 Bi
0.0000 0.5000 0.3008 Bi
0.5000 0.5000 0.0000 S
0.0000 0.0000 0.0000 S



Li2PtW, relaxed, DFT GGA-PBE; calculated formation energy = 0.07 eV/f.u.; energy above the lowest structure with this stoichiometry = 0.0688 eV per atom
1.0
4.7019 -0.0025 0.0169
3.9312 2.5794 0.0169
0.6060 0.1809 5.0188
Li Pt W
2 1 1
Direct
0.0030 0.0030 0.9614 Li
0.7624 0.7624 0.7763 Li
0.4925 0.4925 0.4677 Pt
0.2422 0.2422 0.2945 W



Zr2CoSi, relaxed, DFT GGA-PBE; E_form (uncorrected) = -0.394 eV per atom
1.0
7.1263 -0.0075 -0.0150
-2.6222 3.4360 0.0392
1.8818 1.4042 2.8008
Co Si Zr
1 1 2
Direct
0.0000 0.5000 0.5000 Co
0.5000 0.5000 0.0000 Si
0.0000 0.0000 0.0000 Zr
0.5000 0.0000 0.5000 Zr



Tm6ZnCo, relaxed, DFT GGA-PBE; calculated formation energy = -0.81 eV/f.u.; energy above the lowest structure with this stoichiometry = 0.0000 eV per atom
1.0
-3.3712 -1.3617 -3.2363
-0.0390 -4.4718 1.9221
-7.8023 -0.5601 4.7021
Tm Zn Co
6 1 1
Direct
0.7492 0.7492 0.5017 Tm
0.5973 0.0973 0.8054 Tm
0.0973 0.5973 0.8054 Tm
0.4027 0.9027 0.1946 Tm
0.2508 0.2508 0.4983 Tm
0.9027 0.4027 0.1946 Tm
0.5000 0.5000 0.0000 Zn
0.0000 0.0000 0.0000 Co



SbSe8, relaxed, DFT GGA-PBE; E_form (uncorrected) = 0.454 eV per atom
1.0
-4.2977 -4.5355 -4.3897
4.9112 0.3252 5.8382
-5.8805 2.8910 3.9207
Sb Se
1 8
Direct
0.0000 0.0000 0.0000 Sb
0.6326 0.3674 0.0000 Se
0.3674 0.6326 0.0000 Se
0.0000 0.6195 0.6195 Se
0.3674 0.3674 0.7348 Se
0.6195 0.0000 0.6195 Se
0.6326 0.6326 0.2652 Se
0.0000 0.3805 0.3805 Se
0.3805 0.0000 0.3805 Se



AcDy3HoTm, relaxed, DFT GGA-PBE; calculated formation energy = 1.36 eV/f.u.
1.0
-3.5252 3.9901 -0.6522
-4.4891 -6.0936 9.0428
3.0639 3.5519 5.1695
Ac Dy Ho Tm
2 6 2 2
Direct
0.3734 0.7467 0.9836 Ac
0.6266 0.2533 0.0164 Ac
0.8186 0.6373 0.2839 Dy
0.7747 0.5494 0.8079 Dy
0.4788 0.9576 0.2840 Dy
0.2253 0.4506 0.1921 Dy
0.5212 0.0424 0.7160 Dy
0.1814 0.3627 0.7161 Dy
0.0752 0.1504 0.3921 Ho
0.9248 0.8496 0.6079 Ho
0.6674 0.3349 0.4773 Tm
0.3326 0.6651 0.5227 Tm



Ac4Ag2Ir, relaxed, DFT GGA-PBE; calculated formation energy = -1.60 eV/f.u.; energy above the lowest structure with this stoichiometry = 0.1517 eV per atom
1.0
5.8484 0.0000 0.0000
0.0000 5.8484 0.0000
-2.9242 -2.9242 7.7525
Ac Ir Ag
4 1 2
Direct
0.8095 0.8095 0.6189 Ac
0.1905 0.1905 0.3811 Ac
0.0000 0.5000 0.0000 Ac
0.5000 0.0000 0.0000 Ac
0.0000 0.0000 0.0000 Ir
0.6049 0.6049 0.2099 Ag
0.3951 0.3951 0.7901 Ag



CsAs2SeBr, relaxed, DFT GGA-PBE; energy above the lowest structure with this stoichiometry = 0.0000 eV per atom; E_form (uncorrected) = -0.046 eV per atom
1.0
-4.9478 -0.8695 0.0946
0.4747 -2.2130 4.4858
-1.2234 7.3710 3.7658
Cs As Se Br
1 2 1 1
Direct
0.5000 0.5000 0.5000 Cs
0.0000 0.5000 0.0000 As
0.5000 0.0000 0.0000 As
0.0000 0.0000 0.0000 Se
0.0000 0.0000 0.5000 Br



Ca3Ce3TcN8, relaxed, DFT GGA-PBE; E_form (uncorrected) = -0.966 eV per atom
1.0
6.8853 0.0002 0.0001
-3.4425 5.9629 -0.0210
0.0000 -3.9553 5.6632
Ca Ce Tc N
3 3 1 8
Direct
0.0000 0.0000 0.0000 Ca
0.0000 0.5000 0.0000 Ca
0.5000 0.5000 0.0000 Ca
0.5000 0.0000 0.5000 Ce
0.5000 0.5000 0.5000 Ce
0.0000 0.5000 0.5000 Ce
0.0000 0.0000 0.5000 Tc
0.2565 0.5131 0.2696 N
0.7435 0.4869 0.7304 N
0.7857 0.5715 0.3012 N
0.2143 0.4285 0.6988 N
0.7857 0.0155 0.3012 N
0.2143 0.9845 0.6988 N
0.2299 0.0156 0.3012 N
0.7701 0.9844 0.6988 N



Zn2HgC, relaxed, DFT GGA-PBE; calculated formation energy = 1.73 eV/f.u.; energy above the lowest structure with this stoichiometry = 0.0000 eV per atom
1.0
6.2939 0.0000 0.0000
0.0000 6.2939 0.0000
3.1470 3.1470 4.4612
C Zn Hg
2 4 2
Direct
0.5000 0.5000 0.0000 C
0.2500 0.7500 0.5000 C
0.3745 0.1250 0.2500 Zn
0.3755 0.6250 0.2500 Zn
0.3750 0.6255 0.7500 Zn
0.8750 0.6245 0.7500 Zn
0.0000 0.0000 0.0000 Hg
0.7500 0.2500 0.5000 Hg



Mg2AlAs, relaxed, DFT GGA-PBE; calculated formation energy = -0.41 eV/f.u.; energy above the lowest structure with this stoichiometry = 0.0186 eV per atom
1.0
6.7505 0.0021 0.0063
-2.7018 4.3836 0.0143
1.3469 0.8625 2.6290
Al As Mg
1 1 2
Direct
0.0000 0.5000 0.5000 Al
0.5000 0.5000 0.0000 As
0.0000 0.0000 0.0000 Mg
0.5000 0.0000 0.5000 Mg



KMo3, relaxed, DFT GGA-PBE; calculated formation energy = 3.89 eV/f.u.; energy above the lowest structure with this stoichiometry = 0.2355 eV per atom
1.0
11.2375 0.0178 0.0104
10.8818 2.8053 0.0104
10.8818 1.3889 2.4374
K Mo
1 3
Direct
0.0000 0.0000 0.0000 K
0.7615 0.7615 0.7615 Mo
0.5000 0.5000 0.5000 Mo
0.2385 0.2385 0.2385 Mo



Computed final energy, in the same sequence as the records: -7.90, -4.41, -3.05, -2.87, -4.53, -4.91, -5.01, -4.99, -3.31, -8.20, -4.97, -10.53, -5.48, -2.97, -5.50, -5.69, -7.80, -4.50, -3.10, -4.27, -4.66, -3.11, -7.68, -2.59, -3.00, -7.42 eV per atom.